{"formula": "Sc2BeCl", "functional": "PBE", "state": "relaxed", "lattice": [[4.7827, 0.0000, 0.0000], [2.3913, 4.1419, 0.0000], [2.3913, 1.3806, 3.9050]], "species": ["Sc", "Sc", "Be", "Cl"], "frac_coords": [[0.0000, 0.0000, 0.0000], [0.2500, 0.2500, 0.2500], [0.5000, 0.5000, 0.5000], [0.7500, 0.7500, 0.7500]], "magnetic_moment_mub_per_fu": 0.33, "n_ef_per_ev_cell": 7.117, "e_above_lowest_polymorph_ev_per_fu": 4.441, "rho_g_cm3": 2.9}

---

{"formula": "ScBe2Cl", "functional": "PBE", "state": "relaxed", "lattice": [[3.0636, 0.0000, 0.0000], [0.0000, 3.0636, 0.0000], [0.0000, 0.0000, 6.9331]], "species": ["Sc", "Be", "Be", "Cl"], "frac_coords": [[0.5000, 0.5000, 0.7500], [0.0000, 0.0000, 0.0006], [0.0000, 0.0000, 0.4994], [0.5000, 0.5000, 0.2500]], "magnetic_moment_mub_per_fu": 0.25, "n_ef_per_ev_cell": 3.502, "e_above_lowest_polymorph_ev_per_fu": 2.497, "rho_g_cm3": 2.5}

---

{"formula": "ScBe2Cl", "functional": "PBE", "state": "relaxed", "lattice": [[-2.9728, -0.1517, 0.2518], [0.2764, -2.3231, 1.8627], [0.2744, 5.0889, 6.3060]], "species": ["Sc", "Be", "Be", "Cl"], "frac_coords": [[0.5000, 0.5000, 0.7761], [0.0000, 0.0000, 0.0210], [0.5000, 0.5000, 0.1184], [0.0000, 0.0000, 0.5844]], "magnetic_moment_mub_per_fu": 0.53, "n_ef_per_ev_cell": 2.679, "e_above_lowest_polymorph_ev_per_fu": 0.367, "rho_g_cm3": 2.3}

---

{"formula": "ScBeCl2", "functional": "PBE", "state": "relaxed", "lattice": [[-2.8205, 1.6407, 3.5138], [-4.4852, 1.3871, -0.9760], [-3.7083, -2.6307, 1.5236]], "species": ["Sc", "Be", "Cl", "Cl"], "frac_coords": [[0.7500, 0.7500, 0.7500], [0.5000, 0.5000, 0.5000], [0.0000, 0.0000, 0.0000], [0.2500, 0.2500, 0.2500]], "magnetic_moment_mub_per_fu": 0.79, "n_ef_per_ev_cell": 4.509, "e_above_lowest_polymorph_ev_per_fu": 3.741, "rho_g_cm3": 2.7}

---

{"formula": "Sc2BeCl", "functional": "PBE", "state": "relaxed", "lattice": [[3.5338, -0.0031, -0.0012], [1.7718, 3.0575, -0.0012], [1.7703, 1.0192, 6.8325]], "species": ["Sc", "Sc", "Be", "Cl"], "frac_coords": [[0.9910, 0.9910, 0.0271], [0.5090, 0.5090, 0.4729], [0.2500, 0.2500, 0.2500], [0.7500, 0.7500, 0.7500]], "magnetic_moment_mub_per_fu": 0.00, "n_ef_per_ev_cell": 2.075, "e_above_lowest_polymorph_ev_per_fu": 0.000, "rho_g_cm3": 3.0}

---

{"formula": "Sc2BeCl", "functional": "PBE", "state": "relaxed", "lattice": [[-0.1936, 5.8819, -0.6652], [-2.4061, 2.9782, -4.5186], [-1.0230, -4.3615, 3.8740]], "species": ["Sc", "Sc", "Be", "Cl"], "frac_coords": [[0.0000, 0.0000, 0.0000], [0.2500, 0.7500, 0.5000], [0.5000, 0.5000, 0.0000], [0.7500, 0.2500, 0.5000]], "magnetic_moment_mub_per_fu": 0.00, "n_ef_per_ev_cell": 3.881, "e_above_lowest_polymorph_ev_per_fu": 1.868, "rho_g_cm3": 3.0}

---

{"formula": "Sc2BeCl", "functional": "PBE", "state": "relaxed", "lattice": [[-3.2682, 3.8396, 1.7592], [-4.4038, 2.8242, -1.0718], [-2.4097, -2.9795, 2.0351]], "species": ["Sc", "Sc", "Be", "Cl"], "frac_coords": [[0.9928, 0.9928, 0.8747], [0.2596, 0.2596, 0.3752], [0.5100, 0.5100, 0.3748], [0.7376, 0.7376, 0.8753]], "magnetic_moment_mub_per_fu": 0.14, "n_ef_per_ev_cell": 4.252, "e_above_lowest_polymorph_ev_per_fu": 0.732, "rho_g_cm3": 3.1}

---

{"formula": "ScBeCl4", "functional": "PBE", "state": "relaxed", "lattice": [[0.0000, 4.0819, 4.0819], [4.0819, 0.0000, 4.0819], [4.0819, 4.0819, 0.0000]], "species": ["Sc", "Be", "Cl", "Cl", "Cl", "Cl"], "frac_coords": [[0.7500, 0.7500, 0.7500], [0.0000, 0.0000, 0.0000], [0.8744, 0.3752, 0.3752], [0.3752, 0.3752, 0.8744], [0.3752, 0.8744, 0.3752], [0.3752, 0.3752, 0.3752]], "magnetic_moment_mub_per_fu": 0.99, "n_ef_per_ev_cell": 5.160, "rho_g_cm3": 2.4}

---

{"formula": "ScBeCl2", "functional": "PBE", "state": "relaxed", "lattice": [[6.9640, 0.5911, 0.0079], [5.8891, 3.7636, 0.0079], [-1.4936, -0.5060, 4.3410]], "species": ["Sc", "Be", "Cl", "Cl"], "frac_coords": [[0.5000, 0.5000, 0.6246], [0.0000, 0.0000, 0.1541], [0.1289, 0.1289, 0.9895], [0.8711, 0.8711, 0.7318]], "magnetic_moment_mub_per_fu": 0.00, "n_ef_per_ev_cell": 2.036, "e_above_lowest_polymorph_ev_per_fu": 0.036, "rho_g_cm3": 2.1}

---

{"formula": "ScBeCl2", "functional": "PBE", "state": "relaxed", "lattice": [[-3.9260, 1.7258, 3.1928], [-0.3291, -4.5251, -2.6789], [0.8094, -2.6832, 1.9625]], "species": ["Sc", "Be", "Cl", "Cl"], "frac_coords": [[0.0000, 0.5000, 0.5000], [0.5000, 0.5000, 0.0000], [0.0000, 0.0000, 0.0000], [0.5000, 0.0000, 0.5000]], "magnetic_moment_mub_per_fu": 0.00, "n_ef_per_ev_cell": 1.971, "e_above_lowest_polymorph_ev_per_fu": 1.905, "rho_g_cm3": 2.8}

---

{"formula": "ScBeCl2", "functional": "PBE", "state": "relaxed", "lattice": [[3.4080, 0.0028, 0.0000], [-1.6766, 2.9671, 0.0000], [0.0000, 0.0000, 8.6705]], "species": ["Sc", "Be", "Cl", "Cl"], "frac_coords": [[0.0000, 0.0000, 0.5326], [0.5000, 0.5000, 0.7560], [0.0000, 0.0000, 0.8906], [0.5000, 0.5000, 0.3208]], "magnetic_moment_mub_per_fu": 0.00, "n_ef_per_ev_cell": 1.703, "e_above_lowest_polymorph_ev_per_fu": 0.104, "rho_g_cm3": 2.4}

---

{"formula": "ScBeCl2", "functional": "PBE", "state": "relaxed", "lattice": [[2.0446, 7.3006, 3.6818], [4.3868, 7.0603, 1.3939], [1.4427, 8.2816, 0.6071]], "species": ["Sc", "Be", "Cl", "Cl"], "frac_coords": [[0.5000, 0.5000, 0.5000], [0.0000, 0.0000, 0.0000], [0.9038, 0.9038, 0.9038], [0.0962, 0.0962, 0.0962]], "magnetic_moment_mub_per_fu": 0.00, "n_ef_per_ev_cell": 3.165, "e_above_lowest_polymorph_ev_per_fu": 1.160, "rho_g_cm3": 2.7}

---

| no. | total DFT energy (no corrections) (eV per atom) |
| --- | --- |
| 1 | -4.027 |
| 2 | -3.555 |
| 3 | -4.088 |
| 4 | -3.416 |
| 5 | -5.138 |
| 6 | -4.671 |
| 7 | -4.955 |
| 8 | -2.458 |
| 9 | -4.343 |
| 10 | -3.876 |
| 11 | -4.326 |
| 12 | -4.062 |